[1]
RbLiY2Se4: optimized geometry, GGA-PBE.

POSCAR file:
```
RbLiY2Se4
1.0
2.1099 -7.1022 0.0000
2.1099 7.1022 0.0000
0.0000 0.0000 14.6672
Rb Li Y Se
2 2 4 8
Direct
0.1082 0.8918 0.7500
0.8918 0.1082 0.2500
0.1684 0.8316 0.2500
0.8316 0.1684 0.7500
0.3660 0.6340 0.5616
0.3660 0.6340 0.9384
0.6340 0.3660 0.0616
0.6340 0.3660 0.4384
0.0000 0.0000 0.0000
0.0000 0.0000 0.5000
0.2623 0.7377 0.1062
0.2623 0.7377 0.3938
0.4234 0.5766 0.7500
0.5766 0.4234 0.2500
0.7377 0.2623 0.6062
0.7377 0.2623 0.8938
```

Magnetic moment = 0.000 Bohr magnetons per cell
Density of states at the Fermi level = 0.00 states/eV per cell
ΔE_f (raw) = -1708.9 meV per atom
Calculated volume = 27.47 Å³/atom

[2]
Rb2LiYSe: optimized geometry, GGA-PBE.

POSCAR file:
```
Rb2LiYSe
1.0
7.0401 0.0000 0.0000
0.0000 7.0401 0.0000
0.0000 0.0000 5.5951
Rb Li Y Se
2 1 1 1
Direct
0.0000 0.5000 0.0000
0.5000 0.0000 0.0000
0.0000 0.0000 0.5000
0.0000 0.0000 0.0000
0.5000 0.5000 0.5000
```

Magnetic moment = 2.000 Bohr magnetons per cell
Density of states at the Fermi level = 5.92 states/eV per cell
ΔE_f (raw) = 775.7 meV per atom
Calculated volume = 55.46 Å³/atom

[3]
RbLiZnSe2: optimized geometry, GGA-PBE.

POSCAR file:
```
RbLiZnSe2
1.0
3.0831 -7.2970 0.0000
3.0831 7.2970 0.0000
0.0000 0.0000 6.1706
Rb Li Zn Se
2 2 2 4
Direct
0.2500 0.7500 0.7656
0.7500 0.2500 0.2344
0.2500 0.2500 0.5000
0.7500 0.7500 0.5000
0.0000 0.0000 0.0000
0.5000 0.5000 0.0000
0.1085 0.8915 0.2667
0.3915 0.6085 0.2667
0.6085 0.3915 0.7333
0.8915 0.1085 0.7333
```

Magnetic moment = 0.000 Bohr magnetons per cell
Density of states at the Fermi level = 0.00 states/eV per cell
ΔE_f (raw) = -965.3 meV per atom
Calculated volume = 27.76 Å³/atom

[4]
Rb4LiZr3Se8: optimized geometry, GGA-PBE.

POSCAR file:
```
Rb4LiZr3Se8
1.0
6.9947 -4.0337 0.0000
6.9947 4.0337 0.0000
-4.6661 0.0000 7.9444
Rb Li Zr Se
4 1 3 8
Direct
0.0000 0.0000 0.0000
0.0000 0.5000 0.0000
0.5000 0.0000 0.0000
0.5000 0.5000 0.0000
0.0000 0.0000 0.5000
0.0000 0.5000 0.5000
0.5000 0.0000 0.5000
0.5000 0.5000 0.5000
0.2335 0.7202 0.6872
0.2338 0.2338 0.6875
0.2690 0.2690 0.3069
0.2798 0.7665 0.3128
0.7202 0.2335 0.6872
0.7310 0.7310 0.6931
0.7662 0.7662 0.3125
0.7665 0.2798 0.3128
```

Magnetic moment = 0.000 Bohr magnetons per cell
Density of states at the Fermi level = 5.14 states/eV per cell
ΔE_f (raw) = -1300.7 meV per atom
Calculated volume = 28.02 Å³/atom

[5]
Rb2LiZr3Se8: optimized geometry, GGA-PBE.

POSCAR file:
```
Rb2LiZr3Se8
1.0
3.8687 2.2336 8.7227
-3.8687 2.2336 8.7227
0.0000 -4.4672 8.7227
Rb Li Zr Se
2 1 3 8
Direct
0.0000 0.0000 0.0000
0.3501 0.3501 0.3501
0.8480 0.8480 0.8480
0.3518 0.3518 0.8438
0.3518 0.8438 0.3518
0.8438 0.3518 0.3518
0.0810 0.0810 0.5638
0.0810 0.5638 0.0810
0.1241 0.1241 0.1241
0.1304 0.6194 0.6194
0.5638 0.0810 0.0810
0.5779 0.5779 0.5779
0.6194 0.1304 0.6194
0.6194 0.6194 0.1304
```

Magnetic moment = 0.000 Bohr magnetons per cell
Density of states at the Fermi level = 4.95 states/eV per cell
ΔE_f (raw) = -1255.0 meV per atom
Calculated volume = 32.30 Å³/atom

[6]
Rb2Li2ZrSe4: optimized geometry, GGA-PBE.

POSCAR file:
```
Rb2Li2ZrSe4
1.0
7.6428 -2.0622 0.0000
7.6428 2.0622 0.0000
-2.6373 0.0000 7.5486
Rb Li Zr Se
2 2 1 4
Direct
0.1380 0.1380 0.0627
0.8620 0.8620 0.9373
0.3206 0.3206 0.5172
0.6794 0.6794 0.4828
0.0000 0.0000 0.5000
0.1876 0.1876 0.6642
0.4857 0.4857 0.7226
0.5143 0.5143 0.2774
0.8124 0.8124 0.3358
```

Magnetic moment = 0.000 Bohr magnetons per cell
ΔE_f (raw) = -1311.5 meV per atom
Calculated volume = 26.44 Å³/atom

[7]
Rb3LiZr3Se8: optimized geometry, GGA-PBE.

POSCAR file:
```
Rb3LiZr3Se8
1.0
3.9774 2.2963 8.0674
-3.9774 2.2963 8.0674
0.0000 -4.5927 8.0674
Rb Li Zr Se
3 1 3 8
Direct
0.0000 0.5000 0.5000
0.5000 0.0000 0.5000
0.5000 0.5000 0.0000
0.5000 0.5000 0.5000
0.0000 0.0000 0.5000
0.0000 0.5000 0.0000
0.5000 0.0000 0.0000
0.2149 0.7349 0.7349
0.2309 0.2309 0.2309
0.2651 0.2651 0.7851
0.2651 0.7851 0.2651
0.7349 0.2149 0.7349
0.7349 0.7349 0.2149
0.7691 0.7691 0.7691
0.7851 0.2651 0.2651
```

Magnetic moment = 0.000 Bohr magnetons per cell
ΔE_f (raw) = -1302.4 meV per atom
Calculated volume = 29.48 Å³/atom

[8]
RbLiZrSe3: optimized geometry, GGA-PBE.

POSCAR file:
```
RbLiZrSe3
1.0
9.1891 0.0000 0.0000
0.0000 4.0208 0.0000
-3.4954 0.0000 9.1474
Rb Li Zr Se
2 2 2 6
Direct
0.2191 0.2500 0.2581
0.7809 0.7500 0.7419
0.0774 0.2500 0.6018
0.9226 0.7500 0.3982
0.3218 0.7500 0.8425
0.6782 0.2500 0.1575
0.1338 0.2500 0.8719
0.2176 0.7500 0.5561
0.4685 0.7500 0.1481
0.5315 0.2500 0.8519
0.7824 0.2500 0.4439
0.8662 0.7500 0.1281
```

Magnetic moment = 0.000 Bohr magnetons per cell
ΔE_f (raw) = -1347.1 meV per atom
Calculated volume = 28.16 Å³/atom